# Ba2ReRh (GGA-PBEsol, optimized geometry)
data_Ba2ReRh
_chemical_formula_sum 'Ba2 Re1 Rh1'
_cell_length_a 3.4296
_cell_length_b 3.4296
_cell_length_c 9.6195
_cell_angle_alpha 90.00
_cell_angle_beta 90.00
_cell_angle_gamma 90.00
_space_group_name_H-M_alt 'P 1'
_space_group_IT_number 1
loop_
_space_group_symop_operation_xyz
'x,y,z'
loop_
_atom_site_label
_atom_site_type_symbol
_atom_site_fract_x
_atom_site_fract_y
_atom_site_fract_z
Ba1 Ba 0.0000 0.0000 0.0000
Ba2 Ba 0.5000 0.5000 0.4139
Re1 Re 0.0000 0.0000 0.6686
Rh1 Rh 0.5000 0.5000 0.7528
# * ΔE_f: 560 meV/atom
# * SG: P4mm (99)
# * E: -5.882 eV per atom
# * relative energy among the computed polymorphs: 95 meV per atom